Record 1
TiHgRh2 (PBE-GGA, relaxed); DFT formation energy = -0.396 eV per atom; space-group type = P4/mmm, No. 123
1.0
4.187 0.000 0.000
0.000 4.187 0.000
0.000 0.000 3.613
Ti Hg Rh
1 1 2
Direct
0.000 0.000 0.000
0.500 0.500 0.000
0.000 0.500 0.500
0.500 0.000 0.500

Record 2
LiTb2SiPd6 (PBE-GGA, relaxed); E_form (uncorrected) = -0.57 eV/atom; space-group type = Immm, No. 71
1.0
-3.092 3.277 4.484
3.092 -3.277 4.484
3.092 3.277 -4.484
Li Tb Si Pd
1 2 1 6
Direct
0.000 0.000 0.000
0.262 0.762 0.500
0.738 0.238 0.500
0.500 0.500 0.000
0.231 0.262 0.493
0.231 0.738 0.969
0.246 0.246 0.000
0.754 0.754 0.000
0.769 0.262 0.031
0.769 0.738 0.507

Record 3
Cu2PO4 (PBE-GGA, relaxed); E_form (uncorrected) = -1.34 eV/atom; space-group type = P-1, No. 2; energy relative to the lowest polymorph listed for this composition = 0 meV/atom
1.0
6.053 0.000 0.000
1.170 6.227 0.000
0.966 2.398 9.000
Cu P O
8 4 16
Direct
0.023 0.109 0.231
0.193 0.324 0.474
0.433 0.195 0.839
0.449 0.614 0.865
0.551 0.386 0.135
0.567 0.805 0.161
0.807 0.676 0.526
0.977 0.891 0.769
0.125 0.700 0.115
0.290 0.804 0.500
0.710 0.196 0.500
0.875 0.300 0.885
0.120 0.255 0.831
0.134 0.646 0.477
0.152 0.714 0.944
0.195 0.047 0.409
0.245 0.464 0.197
0.249 0.883 0.144
0.283 0.802 0.666
0.473 0.261 0.566
0.527 0.739 0.434
0.717 0.198 0.334
0.751 0.117 0.856
0.755 0.536 0.803
0.805 0.953 0.591
0.848 0.286 0.056
0.866 0.354 0.523
0.880 0.745 0.169

no.,DOS(E_F) (states/eV per cell)
1,0.79
2,2.93
3,9.84